# Sm2DySi4Au4, relaxed, DFT PBE
# Total magnetization in μB per formula unit: 0.00
# Final energy in eV per atom: -5.171
data_Sm2DySi4Au4
_symmetry_space_group_name_H-M 'I m m m'
_symmetry_Int_Tables_number 71
_symmetry_space_group_name_Hall '-I 2 2'
_cell_length_a 4.179
_cell_length_b 4.271
_cell_length_c 25.084
_cell_angle_alpha 90.00
_cell_angle_beta 90.00
_cell_angle_gamma 90.00
loop_
_atom_site_label
_atom_site_fract_x
_atom_site_fract_y
_atom_site_fract_z
_atom_site_occupancy
Sm1 0.000 0.000 0.147 1
Dy1 0.000 0.500 0.000 1
Si1 0.000 0.000 0.310 1
Si2 0.000 0.500 0.453 1
Au1 0.000 0.000 0.407 1
Au2 0.000 0.500 0.251 1

# SmDy2Zn2Si4Au2, relaxed, DFT PBE
# Total magnetization in μB per formula unit: 0.00
# Final energy in eV per atom: -4.660
# E above lowest polymorph in meV per atom: 45
data_SmDy2Zn2Si4Au2
_symmetry_space_group_name_H-M 'I m m m'
_symmetry_Int_Tables_number 71
_symmetry_space_group_name_Hall '-I 2 2'
_cell_length_a 4.150
_cell_length_b 4.181
_cell_length_c 24.622
_cell_angle_alpha 90.00
_cell_angle_beta 90.00
_cell_angle_gamma 90.00
loop_
_atom_site_label
_atom_site_fract_x
_atom_site_fract_y
_atom_site_fract_z
_atom_site_occupancy
Sm1 0.000 0.000 0.000 1
Dy1 0.000 0.500 0.145 1
Zn1 0.000 0.500 0.406 1
Si1 0.000 0.000 0.452 1
Si2 0.000 0.500 0.311 1
Au1 0.000 0.000 0.252 1

# SmDy2Zn2Si4Au2, relaxed, DFT PBE
# Total magnetization in μB per formula unit: 0.01
# Final energy in eV per atom: -4.705
# E above lowest polymorph in meV per atom: 0
data_SmDy2Zn2Si4Au2
_symmetry_space_group_name_H-M 'I m m m'
_symmetry_Int_Tables_number 71
_symmetry_space_group_name_Hall '-I 2 2'
_cell_length_a 4.065
_cell_length_b 4.205
_cell_length_c 25.143
_cell_angle_alpha 90.00
_cell_angle_beta 90.00
_cell_angle_gamma 90.00
loop_
_atom_site_label
_atom_site_fract_x
_atom_site_fract_y
_atom_site_fract_z
_atom_site_occupancy
Sm1 0.000 0.000 0.000 1
Dy1 0.000 0.500 0.146 1
Zn1 0.000 0.000 0.251 1
Si1 0.000 0.000 0.453 1
Si2 0.000 0.500 0.308 1
Au1 0.000 0.500 0.404 1

# Tb2DySi4Au4, relaxed, DFT PBE
# Total magnetization in μB per formula unit: 0.01
# Final energy in eV per atom: -5.141
data_Tb2DySi4Au4
_symmetry_space_group_name_H-M 'I m m m'
_symmetry_Int_Tables_number 71
_symmetry_space_group_name_Hall '-I 2 2'
_cell_length_a 4.130
_cell_length_b 4.243
_cell_length_c 25.096
_cell_angle_alpha 90.00
_cell_angle_beta 90.00
_cell_angle_gamma 90.00
loop_
_atom_site_label
_atom_site_fract_x
_atom_site_fract_y
_atom_site_fract_z
_atom_site_occupancy
Tb1 0.000 0.000 0.148 1
Dy1 0.000 0.500 0.000 1
Si1 0.000 0.000 0.310 1
Si2 0.000 0.500 0.453 1
Au1 0.000 0.000 0.407 1
Au2 0.000 0.500 0.252 1

# Tb2DyZn2Si4Au2, relaxed, DFT PBE
# Total magnetization in μB per formula unit: 0.01
# Final energy in eV per atom: -4.654
# E above lowest polymorph in meV per atom: 53
data_Tb2DyZn2Si4Au2
_symmetry_space_group_name_H-M 'I m m m'
_symmetry_Int_Tables_number 71
_symmetry_space_group_name_Hall '-I 2 2'
_cell_length_a 4.127
_cell_length_b 4.177
_cell_length_c 24.587
_cell_angle_alpha 90.00
_cell_angle_beta 90.00
_cell_angle_gamma 90.00
loop_
_atom_site_label
_atom_site_fract_x
_atom_site_fract_y
_atom_site_fract_z
_atom_site_occupancy
Tb1 0.000 0.000 0.144 1
Dy1 0.000 0.500 0.000 1
Zn1 0.000 0.000 0.407 1
Si1 0.000 0.000 0.312 1
Si2 0.000 0.500 0.453 1
Au1 0.000 0.500 0.252 1

# Tb2DyZn2Si4Au2, relaxed, DFT PBE
# Total magnetization in μB per formula unit: 0.00
# Final energy in eV per atom: -4.707
# E above lowest polymorph in meV per atom: 0
data_Tb2DyZn2Si4Au2
_symmetry_space_group_name_H-M 'I m m m'
_symmetry_Int_Tables_number 71
_symmetry_space_group_name_Hall '-I 2 2'
_cell_length_a 4.040
_cell_length_b 4.211
_cell_length_c 25.039
_cell_angle_alpha 90.00
_cell_angle_beta 90.00
_cell_angle_gamma 90.00
loop_
_atom_site_label
_atom_site_fract_x
_atom_site_fract_y
_atom_site_fract_z
_atom_site_occupancy
Tb1 0.000 0.000 0.146 1
Dy1 0.000 0.500 0.000 1
Zn1 0.000 0.500 0.251 1
Si1 0.000 0.000 0.309 1
Si2 0.000 0.500 0.453 1
Au1 0.000 0.000 0.405 1

# TbDy2Zn2Si4Au2, relaxed, DFT PBE
# Total magnetization in μB per formula unit: 0.01
# Final energy in eV per atom: -4.646
# E above lowest polymorph in meV per atom: 52
data_TbDy2Zn2Si4Au2
_symmetry_space_group_name_H-M 'I m m m'
_symmetry_Int_Tables_number 71
_symmetry_space_group_name_Hall '-I 2 2'
_cell_length_a 4.122
_cell_length_b 4.172
_cell_length_c 24.595
_cell_angle_alpha 90.00
_cell_angle_beta 90.00
_cell_angle_gamma 90.00
loop_
_atom_site_label
_atom_site_fract_x
_atom_site_fract_y
_atom_site_fract_z
_atom_site_occupancy
Tb1 0.000 0.000 0.000 1
Dy1 0.000 0.500 0.144 1
Zn1 0.000 0.500 0.407 1
Si1 0.000 0.000 0.452 1
Si2 0.000 0.500 0.312 1
Au1 0.000 0.000 0.252 1

# TbDy2Zn2Si4Au2, relaxed, DFT PBE
# Total magnetization in μB per formula unit: 0.00
# Final energy in eV per atom: -4.698
# E above lowest polymorph in meV per atom: 0
data_TbDy2Zn2Si4Au2
_symmetry_space_group_name_H-M 'I m m m'
_symmetry_Int_Tables_number 71
_symmetry_space_group_name_Hall '-I 2 2'
_cell_length_a 4.034
_cell_length_b 4.202
_cell_length_c 25.060
_cell_angle_alpha 90.00
_cell_angle_beta 90.00
_cell_angle_gamma 90.00
loop_
_atom_site_label
_atom_site_fract_x
_atom_site_fract_y
_atom_site_fract_z
_atom_site_occupancy
Tb1 0.000 0.000 0.000 1
Dy1 0.000 0.500 0.146 1
Zn1 0.000 0.000 0.251 1
Si1 0.000 0.000 0.453 1
Si2 0.000 0.500 0.309 1
Au1 0.000 0.500 0.405 1

# DySi2TcAu, relaxed, DFT PBE
# Total magnetization in μB per formula unit: 0.00
# Final energy in eV per atom: -6.411
data_DySi2TcAu
_symmetry_space_group_name_H-M 'I -4 m 2'
_symmetry_Int_Tables_number 119
_symmetry_space_group_name_Hall 'I -4 -2'
_cell_length_a 4.129
_cell_length_b 4.129
_cell_length_c 10.272
_cell_angle_alpha 90.00
_cell_angle_beta 90.00
_cell_angle_gamma 90.00
loop_
_atom_site_label
_atom_site_fract_x
_atom_site_fract_y
_atom_site_fract_z
_atom_site_occupancy
Dy1 0.000 0.000 0.000 1
Si1 0.000 0.000 0.384 1
Tc1 0.000 0.500 0.250 1
Au1 0.000 0.500 0.750 1

# DyYSi2Au2, relaxed, DFT PBE
# Total magnetization in μB per formula unit: 0.01
# Final energy in eV per atom: -5.566
data_DyYSi2Au2
_symmetry_space_group_name_H-M 'P 3 m 1'
_symmetry_Int_Tables_number 156
_cell_length_a 4.3159
_cell_length_b 4.3159
_cell_length_c 7.6740
_cell_angle_alpha 90.00
_cell_angle_beta 90.00
_cell_angle_gamma 120.00
loop_
_symmetry_equiv_pos_as_xyz
'x,y,z'
'-y,x-y,z'
'-x+y,-x,z'
'-y,-x,z'
'-x+y,y,z'
'x,x-y,z'
loop_
_atom_site_label
_atom_site_fract_x
_atom_site_fract_y
_atom_site_fract_z
_atom_site_occupancy
Dy1 0.0000 0.0000 0.0000 1
Y1 0.0000 0.0000 0.5002 1
Si1 0.3333 0.6667 0.7246 1
Si2 0.6667 0.3333 0.2238 1
Au1 0.3333 0.6667 0.2648 1
Au2 0.6667 0.3333 0.7658 1

# Dy2YSi4Au4, relaxed, DFT PBE
# Total magnetization in μB per formula unit: 0.01
# Final energy in eV per atom: -5.300
data_Dy2YSi4Au4
_symmetry_space_group_name_H-M 'I m m m'
_symmetry_Int_Tables_number 71
_symmetry_space_group_name_Hall '-I 2 2'
_cell_length_a 4.126
_cell_length_b 4.233
_cell_length_c 25.066
_cell_angle_alpha 90.00
_cell_angle_beta 90.00
_cell_angle_gamma 90.00
loop_
_atom_site_label
_atom_site_fract_x
_atom_site_fract_y
_atom_site_fract_z
_atom_site_occupancy
Dy1 0.000 0.000 0.148 1
Y1 0.000 0.500 0.000 1
Si1 0.000 0.000 0.310 1
Si2 0.000 0.500 0.453 1
Au1 0.000 0.000 0.406 1
Au2 0.000 0.500 0.252 1

# DyY2Zn2Si4Au2, relaxed, DFT PBE
# Total magnetization in μB per formula unit: 0.00
# Final energy in eV per atom: -4.986
# E above lowest polymorph in meV per atom: 53
data_DyY2Zn2Si4Au2
_symmetry_space_group_name_H-M 'I m m m'
_symmetry_Int_Tables_number 71
_symmetry_space_group_name_Hall '-I 2 2'
_cell_length_a 4.123
_cell_length_b 4.172
_cell_length_c 24.599
_cell_angle_alpha 90.00
_cell_angle_beta 90.00
_cell_angle_gamma 90.00
loop_
_atom_site_label
_atom_site_fract_x
_atom_site_fract_y
_atom_site_fract_z
_atom_site_occupancy
Dy1 0.000 0.000 0.000 1
Y1 0.000 0.500 0.144 1
Zn1 0.000 0.500 0.407 1
Si1 0.000 0.000 0.453 1
Si2 0.000 0.500 0.312 1
Au1 0.000 0.000 0.252 1